# GGA-PBE MnSnAu, optimized geometry
data_MnSnAu
_chemical_formula_sum 'Mn1 Sn1 Au1'
_space_group_name_H-M_alt 'P 1'
_space_group_IT_number 1
_space_group_name_Hall 'P 1'
_cell_length_a 3.235
_cell_length_b 3.235
_cell_length_c 6.049
_cell_angle_alpha 105.51
_cell_angle_beta 105.51
_cell_angle_gamma 90.00
loop_
_atom_site_label
_atom_site_fract_x
_atom_site_fract_y
_atom_site_fract_z
Au1 0.970 0.970 0.939
Sn1 0.277 0.277 0.554
Mn1 0.603 0.603 0.207
# * formation energy: 81 meV/atom
# * energy: -16.2 eV per cell
# * V: 59 Å³ per cell